1.
A plane-wave DFT calculation with PBE was carried out for a relaxed structure of SrLuPd2.

Structure (extended XYZ):
```
4
Lattice="0.0000 3.4762 3.4762 3.4762 0.0000 3.4762 3.4762 3.4762 0.0000" Properties=species:S:1:pos:R:3 pbc="T T T"
Sr 0.0000 0.0000 0.0000
Lu 1.7381 1.7381 1.7381
Pd 3.4762 3.4762 3.4762
Pd 5.2143 5.2143 5.2143
```

Summary:
VASP energy in eV/atom: -4.413
Density in Mg/m³: 9.40

---

2.
A plane-wave DFT calculation with PBE was carried out for a relaxed structure of Ag2SnSe3.

Structure (extended XYZ):
```
6
Lattice="-2.1698 6.4390 3.0499 2.1698 -6.4390 3.0499 2.1698 6.4390 -3.0499" Properties=species:S:1:pos:R:3 pbc="T T T"
Ag 0.0000 2.1605 0.0000
Ag 0.0000 10.7175 0.0000
Sn 0.0000 6.4390 0.1833
Se 0.0000 0.0000 1.6260
Se 0.0000 4.2953 1.5670
Se 0.0000 8.5827 1.5670
```

Summary:
VASP energy in eV/atom: -3.597
Density in Mg/m³: 5.57

---

3.
A plane-wave DFT calculation with PBE was carried out for a relaxed structure of RbYW.

Structure (extended XYZ):
```
3
Lattice="0.0000 3.5903 3.5903 3.5903 0.0000 3.5903 3.5903 3.5903 0.0000" Properties=species:S:1:pos:R:3 pbc="T T T"
Rb 0.0000 0.0000 0.0000
Y 1.7951 1.7951 1.7951
W 5.3854 5.3854 5.3854
```

Summary:
VASP energy in eV/atom: -4.225
Density in Mg/m³: 6.43